Version 1
# meta-GGA SCAN IrOs5, single point on PBEsol structure
# * SG: Cm (8)
data_IrOs5
_cell_length_a 2.7265
_cell_length_b 5.1112
_cell_length_c 6.4082
_cell_angle_alpha 103.25
_cell_angle_beta 90.00
_cell_angle_gamma 105.47
_symmetry_space_group_name_H-M 'P 1'
_symmetry_Int_Tables_number 1
loop_
_symmetry_equiv_pos_as_xyz
'x,y,z'
loop_
_atom_site_label
_atom_site_type_symbol
_atom_site_fract_x
_atom_site_fract_y
_atom_site_fract_z
Os1 Os 0.7235 0.4470 0.9442
Os2 Os 0.3325 0.6650 0.6639
Os3 Os 0.0557 0.1115 0.6108
Os4 Os 0.3878 0.7756 0.2789
Os5 Os 0.6669 0.3338 0.3356
Ir1 Ir 0.0002 0.0005 0.9998

---

Version 2
# meta-GGA SCAN IrOs5, single point on PBEsol structure
# * SG: P-62m (189)
data_IrOs5
_cell_length_a 4.3168
_cell_length_b 4.7333
_cell_length_c 4.7333
_cell_angle_alpha 120.00
_cell_angle_beta 90.00
_cell_angle_gamma 90.00
_symmetry_space_group_name_H-M 'P 1'
_symmetry_Int_Tables_number 1
loop_
_symmetry_equiv_pos_as_xyz
'x,y,z'
loop_
_atom_site_label
_atom_site_type_symbol
_atom_site_fract_x
_atom_site_fract_y
_atom_site_fract_z
Os1 Os 0.0000 0.3345 0.3345
Os2 Os 0.5000 0.3333 0.6667
Os3 Os 0.5000 0.6667 0.3333
Os4 Os 0.0000 0.6655 0.0000
Os5 Os 0.0000 0.0000 0.6655
Ir1 Ir 0.5000 0.0000 0.0000

---

Energy comparison, zero being the most stable, in meV/atom: version 1 8; version 2 0.

---

Version 1
# meta-GGA SCAN P2IrOs, single point on PBEsol structure
# * SG: P4mm (99)
data_P2IrOs
_cell_length_a 2.8216
_cell_length_b 2.8216
_cell_length_c 7.5544
_cell_angle_alpha 90.00
_cell_angle_beta 90.00
_cell_angle_gamma 90.00
_symmetry_space_group_name_H-M 'P 1'
_symmetry_Int_Tables_number 1
loop_
_symmetry_equiv_pos_as_xyz
'x,y,z'
loop_
_atom_site_label
_atom_site_type_symbol
_atom_site_fract_x
_atom_site_fract_y
_atom_site_fract_z
Ir1 Ir 0.0000 0.0000 0.4892
P1 P 0.0000 0.0000 0.9423
P2 P 0.5000 0.5000 0.3040
Os1 Os 0.5000 0.5000 0.7646

---

Version 2
# meta-GGA SCAN P2IrOs, single point on PBEsol structure
# * SG: R-3m (166)
data_P2IrOs
_cell_length_a 2.8810
_cell_length_b 2.8810
_cell_length_c 7.5311
_cell_angle_alpha 78.97
_cell_angle_beta 78.97
_cell_angle_gamma 60.00
_symmetry_space_group_name_H-M 'P 1'
_symmetry_Int_Tables_number 1
loop_
_symmetry_equiv_pos_as_xyz
'x,y,z'
loop_
_atom_site_label
_atom_site_type_symbol
_atom_site_fract_x
_atom_site_fract_y
_atom_site_fract_z
P1 P 0.7485 0.7485 0.7544
P2 P 0.2515 0.2515 0.2456
Ir1 Ir 0.5000 0.5000 0.5000
Os1 Os 0.0000 0.0000 0.0000

---

Energy comparison, zero being the most stable, in meV/atom: version 1 58; version 2 0.

---

Version 1
# meta-GGA SCAN P2IrOs, single point on PBEsol structure
# * SG: P2/m (10)
data_P2IrOs
_cell_length_a 3.8184
_cell_length_b 3.8992
_cell_length_c 3.9952
_cell_angle_alpha 92.48
_cell_angle_beta 90.00
_cell_angle_gamma 90.00
_symmetry_space_group_name_H-M 'P 1'
_symmetry_Int_Tables_number 1
loop_
_symmetry_equiv_pos_as_xyz
'x,y,z'
loop_
_atom_site_label
_atom_site_type_symbol
_atom_site_fract_x
_atom_site_fract_y
_atom_site_fract_z
P1 P 0.0000 0.1846 0.3085
P2 P 0.0000 0.8154 0.6915
Os1 Os 0.5000 0.0000 0.0000
Ir1 Ir 0.5000 0.5000 0.5000

---

Version 2
# meta-GGA SCAN P2IrOs, single point on PBEsol structure
# * SG: I4/mmm (139)
data_P2IrOs
_cell_length_a 4.1728
_cell_length_b 4.1728
_cell_length_c 4.1728
_cell_angle_alpha 91.61
_cell_angle_beta 119.07
_cell_angle_gamma 119.07
_symmetry_space_group_name_H-M 'P 1'
_symmetry_Int_Tables_number 1
loop_
_symmetry_equiv_pos_as_xyz
'x,y,z'
loop_
_atom_site_label
_atom_site_type_symbol
_atom_site_fract_x
_atom_site_fract_y
_atom_site_fract_z
P1 P 0.5000 0.2500 0.7500
P2 P 0.5000 0.7500 0.2500
Ir1 Ir 0.0000 0.0000 0.0000
Os1 Os 0.0000 0.5000 0.5000

---

Energy comparison, zero being the most stable, in meV/atom: version 1 0; version 2 210.

---

Version 1
# meta-GGA SCAN IrOsPb2, single point on PBEsol structure
# * SG: Fm-3m (225)
data_IrOsPb2
_cell_length_a 4.7075
_cell_length_b 4.7075
_cell_length_c 4.7075
_cell_angle_alpha 60.00
_cell_angle_beta 60.00
_cell_angle_gamma 60.00
_symmetry_space_group_name_H-M 'P 1'
_symmetry_Int_Tables_number 1
loop_
_symmetry_equiv_pos_as_xyz
'x,y,z'
loop_
_atom_site_label
_atom_site_type_symbol
_atom_site_fract_x
_atom_site_fract_y
_atom_site_fract_z
Pb1 Pb 0.7500 0.7500 0.7500
Pb2 Pb 0.2500 0.2500 0.2500
Os1 Os 0.5000 0.5000 0.5000
Ir1 Ir 0.0000 0.0000 0.0000

---

Version 2
# meta-GGA SCAN IrOsPb2, single point on PBEsol structure
# * SG: Cm (8)
data_IrOsPb2
_cell_length_a 2.9687
_cell_length_b 4.4500
_cell_length_c 7.1704
_cell_angle_alpha 95.44
_cell_angle_beta 90.00
_cell_angle_gamma 109.48
_symmetry_space_group_name_H-M 'P 1'
_symmetry_Int_Tables_number 1
loop_
_symmetry_equiv_pos_as_xyz
'x,y,z'
loop_
_atom_site_label
_atom_site_type_symbol
_atom_site_fract_x
_atom_site_fract_y
_atom_site_fract_z
Ir1 Ir 0.5093 0.0186 0.5618
Pb1 Pb 0.9814 0.9627 0.9327
Pb2 Pb 0.7650 0.5300 0.3194
Os1 Os 0.2444 0.4887 0.6861

---

Energy comparison, zero being the most stable, in meV/atom: version 1 492; version 2 0.

---

Version 1
# meta-GGA SCAN IrOsPt2, single point on PBEsol structure
# * SG: Pmm2 (25)
data_IrOsPt2
_cell_length_a 2.7329
_cell_length_b 3.8552
_cell_length_c 5.4849
_cell_angle_alpha 90.00
_cell_angle_beta 90.00
_cell_angle_gamma 90.00
_symmetry_space_group_name_H-M 'P 1'
_symmetry_Int_Tables_number 1
loop_
_symmetry_equiv_pos_as_xyz
'x,y,z'
loop_
_atom_site_label
_atom_site_type_symbol
_atom_site_fract_x
_atom_site_fract_y
_atom_site_fract_z
Os1 Os 0.5000 0.5000 0.7404
Pt1 Pt 0.5000 0.5000 0.2517
Pt2 Pt 0.0000 0.0000 0.9948
Ir1 Ir 0.0000 0.0000 0.5131

---

Version 2
# meta-GGA SCAN IrOsPt2, single point on PBEsol structure
# * SG: P4mm (99)
data_IrOsPt2
_cell_length_a 2.7249
_cell_length_b 2.7249
_cell_length_c 7.8246
_cell_angle_alpha 90.00
_cell_angle_beta 90.00
_cell_angle_gamma 90.00
_symmetry_space_group_name_H-M 'P 1'
_symmetry_Int_Tables_number 1
loop_
_symmetry_equiv_pos_as_xyz
'x,y,z'
loop_
_atom_site_label
_atom_site_type_symbol
_atom_site_fract_x
_atom_site_fract_y
_atom_site_fract_z
Pt1 Pt 0.5000 0.5000 0.2553
Pt2 Pt 0.0000 0.0000 0.9904
Ir1 Ir 0.0000 0.0000 0.5126
Os1 Os 0.5000 0.5000 0.7417

---

Energy comparison, zero being the most stable, in meV/atom: version 1 54; version 2 0.

---

Version 1
# meta-GGA SCAN IrOsPt2, single point on PBEsol structure
# * SG: I-4m2 (119)
data_IrOsPt2
_cell_length_a 3.8493
_cell_length_b 3.8493
_cell_length_c 4.7476
_cell_angle_alpha 113.92
_cell_angle_beta 113.92
_cell_angle_gamma 90.00
_symmetry_space_group_name_H-M 'P 1'
_symmetry_Int_Tables_number 1
loop_
_symmetry_equiv_pos_as_xyz
'x,y,z'
loop_
_atom_site_label
_atom_site_type_symbol
_atom_site_fract_x
_atom_site_fract_y
_atom_site_fract_z
Os1 Os 0.2500 0.7500 0.5000
Pt1 Pt 0.7500 0.2500 0.5000
Pt2 Pt 0.5000 0.5000 0.0000
Ir1 Ir 0.0000 0.0000 0.0000

---

Version 2
# meta-GGA SCAN IrOsPt2, single point on PBEsol structure
# * SG: Fm-3m (225)
data_IrOsPt2
_cell_length_a 4.3718
_cell_length_b 4.3718
_cell_length_c 4.3718
_cell_angle_alpha 60.00
_cell_angle_beta 60.00
_cell_angle_gamma 60.00
_symmetry_space_group_name_H-M 'P 1'
_symmetry_Int_Tables_number 1
loop_
_symmetry_equiv_pos_as_xyz
'x,y,z'
loop_
_atom_site_label
_atom_site_type_symbol
_atom_site_fract_x
_atom_site_fract_y
_atom_site_fract_z
Ir1 Ir 0.0000 0.0000 0.0000
Os1 Os 0.5000 0.5000 0.5000
Pt1 Pt 0.7500 0.7500 0.7500
Pt2 Pt 0.2500 0.2500 0.2500

---

Version 3
# meta-GGA SCAN IrOsPt2, single point on PBEsol structure
# * SG: R3m (160)
data_IrOsPt2
_cell_length_a 2.7314
_cell_length_b 2.7314
_cell_length_c 9.1090
_cell_angle_alpha 81.38
_cell_angle_beta 81.38
_cell_angle_gamma 60.00
_symmetry_space_group_name_H-M 'P 1'
_symmetry_Int_Tables_number 1
loop_
_symmetry_equiv_pos_as_xyz
'x,y,z'
loop_
_atom_site_label
_atom_site_type_symbol
_atom_site_fract_x
_atom_site_fract_y
_atom_site_fract_z
Pt1 Pt 0.7512 0.7512 0.7464
Pt2 Pt 0.9977 0.9977 0.0069
Os1 Os 0.2479 0.2479 0.2562
Ir1 Ir 0.5032 0.5032 0.4905

---

Version 4
# meta-GGA SCAN IrOsPt2, single point on PBEsol structure
# * SG: Cm (8)
data_IrOsPt2
_cell_length_a 2.7289
_cell_length_b 4.7347
_cell_length_c 4.7399
_cell_angle_alpha 99.32
_cell_angle_beta 90.00
_cell_angle_gamma 106.75
_symmetry_space_group_name_H-M 'P 1'
_symmetry_Int_Tables_number 1
loop_
_symmetry_equiv_pos_as_xyz
'x,y,z'
loop_
_atom_site_label
_atom_site_type_symbol
_atom_site_fract_x
_atom_site_fract_y
_atom_site_fract_z
Os1 Os 0.7530 0.5061 0.2612
Pt1 Pt 0.0030 0.0059 0.0017
Pt2 Pt 0.2484 0.4968 0.7508
Ir1 Ir 0.4956 0.9911 0.4863

---

Energy comparison, zero being the most stable, in meV/atom: version 1 62; version 2 511; version 3 0; version 4 54.